1.
CaZn2Ru | PBE | optimized geometry

```
CaZn2Ru
1.0
7.1245 0.0440 0.0798
-2.4884 3.3700 -0.0136
2.1478 1.6030 2.9082
Zn Ca Ru
2 1 1
Direct
0.5000 0.0000 0.5000 Zn
0.0000 0.0000 0.0000 Zn
0.0000 0.5000 0.5000 Ca
0.5000 0.5000 0.0000 Ru
```

Summary:
ΔE_f: 0.0870 eV/atom
magnetic moment: 0.23 μB per cell
N(E_F): 2.6 states/eV per cell

2.
Ca4ZnRu | PBE | optimized geometry

```
Ca4ZnRu
1.0
5.1281 -1.5862 3.0188
0.1483 -5.1988 3.2981
3.3606 -4.7823 -1.9397
Ca Zn Ru
4 1 1
Direct
0.3760 0.3760 0.3760 Ca
0.8721 0.3760 0.3760 Ca
0.3760 0.8721 0.3760 Ca
0.3760 0.3760 0.8721 Ca
0.0000 0.0000 0.0000 Zn
0.7500 0.7500 0.7500 Ru
```

Summary:
energy above the most stable polymorph in this dataset: 0.903 eV per atom
ΔE_f: 0.8598 eV/atom
magnetic moment: 0.00 μB per cell
N(E_F): 7.6 states/eV per cell

3.
CaZn3Ru | PBE | optimized geometry

```
CaZn3Ru
1.0
-4.0063 -2.2778 -2.4493
2.4333 -5.0822 0.7462
-4.1593 1.9233 5.0148
Zn Ca Ru
6 2 2
Direct
0.2500 0.9134 0.2955 Zn
0.2500 0.8121 0.6243 Zn
0.7500 0.0866 0.7045 Zn
0.2500 0.3821 0.2955 Zn
0.7500 0.1879 0.3757 Zn
0.7500 0.6179 0.7045 Zn
0.2500 0.4016 0.8032 Ca
0.7500 0.5984 0.1968 Ca
0.5000 0.0000 0.0000 Ru
0.0000 0.0000 0.0000 Ru
```

Summary:
energy above the most stable polymorph in this dataset: 0.000 eV per atom
ΔE_f: -0.1527 eV/atom
magnetic moment: 0.00 μB per cell
N(E_F): 4.3 states/eV per cell

4.
CaZn2Ru | PBE | optimized geometry

```
CaZn2Ru
1.0
4.2661 -0.4331 0.3850
2.4856 3.4941 0.3850
1.7920 0.8124 5.2328
Ru Zn Ca
1 2 1
Direct
0.2500 0.2500 0.2500 Ru
0.9542 0.9542 0.1375 Zn
0.5458 0.5458 0.3625 Zn
0.7500 0.7500 0.7500 Ca
```

Summary:
ΔE_f: -0.0562 eV/atom
magnetic moment: 0.00 μB per cell
N(E_F): 2.3 states/eV per cell

5.
CaZn3Ru | PBE | optimized geometry

```
CaZn3Ru
1.0
4.7957 0.0000 0.0000
0.0000 4.7957 0.0000
0.0000 0.0000 4.7957
Ru Ca Zn
1 1 3
Direct
0.0000 0.0000 0.0000 Ru
0.5000 0.5000 0.5000 Ca
0.0000 0.0000 0.5000 Zn
0.0000 0.5000 0.0000 Zn
0.5000 0.0000 0.0000 Zn
```

Summary:
energy above the most stable polymorph in this dataset: 0.121 eV per atom
ΔE_f: -0.0321 eV/atom
magnetic moment: 0.00 μB per cell
N(E_F): 1.8 states/eV per cell

6.
Ca3Zn9Ru2 | PBE | optimized geometry

```
Ca3Zn9Ru2
1.0
-3.8915 -0.9326 1.5236
-0.1994 -8.2346 0.4670
1.2821 -2.5137 7.7527
Ca Zn Ru
3 9 2
Direct
0.3033 0.6967 0.6967 Ca
0.0000 0.0000 0.0000 Ca
0.6967 0.3033 0.3033 Ca
0.8810 0.8395 0.3985 Zn
0.1190 0.6015 0.1605 Zn
0.1190 0.1605 0.6015 Zn
0.6565 0.9866 0.7003 Zn
0.3435 0.2997 0.0134 Zn
0.6565 0.7003 0.9866 Zn
0.8810 0.3985 0.8395 Zn
0.0000 0.5000 0.5000 Zn
0.3435 0.0134 0.2997 Zn
0.5000 0.3206 0.6794 Ru
0.5000 0.6794 0.3206 Ru
```

Summary:
ΔE_f: -0.2077 eV/atom
magnetic moment: 0.00 μB per cell
N(E_F): 5.3 states/eV per cell

7.
Ca2ZnRu | PBE | optimized geometry

```
Ca2ZnRu
1.0
4.8827 0.0000 0.0000
2.4414 4.2286 0.0000
2.4414 1.4095 3.9867
Ru Zn Ca
1 1 2
Direct
0.5000 0.5000 0.5000 Ru
0.7500 0.7500 0.7500 Zn
0.2500 0.2500 0.2500 Ca
0.0000 0.0000 0.0000 Ca
```

Summary:
ΔE_f: 0.1789 eV/atom
magnetic moment: 0.00 μB per cell
N(E_F): 2.1 states/eV per cell

8.
CaZnRu | PBE | optimized geometry

```
CaZnRu
1.0
-2.0258 2.4553 -3.1502
-4.2479 -0.8638 -1.1248
-3.2455 2.8679 1.1391
Ca Ru Zn
1 1 1
Direct
0.5000 0.5000 0.5000 Ca
0.7500 0.7500 0.7500 Ru
0.0000 0.0000 0.0000 Zn
```

Summary:
ΔE_f: 0.4096 eV/atom
magnetic moment: 0.00 μB per cell
N(E_F): 3.9 states/eV per cell